The following is a DFT calculation (PBE) of a relaxed structure of MoAs2Pb2.

## Properties
N(E_F) in states/eV/f.u.: 3.52
Energy above the most stable polymorph in this dataset in meV per atom: 614
SG: No. 127
DFT formation energy in eV per atom: 0.818

Cell lengths 7.6534, 7.6534, 4.0835 Å; angles 90.00, 90.00, 90.00 degrees
Last column: nearest neighbours and their distance in Å.
Element x y z (fractional)
1 Mo 0.0000 0.0000 0.0000  4 Pb 2.94
2 Mo 0.5000 0.5000 0.0000  4 Pb 2.94
3 As 0.1788 0.3212 0.5000  2 Pb 2.81
4 As 0.3212 0.8212 0.5000  2 Pb 2.81
5 As 0.6788 0.1788 0.5000  2 Pb 2.81
6 As 0.8212 0.6788 0.5000  2 Pb 2.81
7 Pb 0.1433 0.6433 0.0000  2 As 2.81, 2 Mo 2.94, 1 Pb 3.10
8 Pb 0.3567 0.1433 0.0000  2 As 2.81, 2 Mo 2.94, 1 Pb 3.10
9 Pb 0.6433 0.8567 0.0000  2 As 2.81, 2 Mo 2.94, 1 Pb 3.10
10 Pb 0.8567 0.3567 0.0000  2 As 2.81, 2 Mo 2.94, 1 Pb 3.10

The following is a DFT calculation (PBE) of a relaxed structure of Mo2AsPb.

## Properties
N(E_F) in states/eV/f.u.: 3.47
Energy above the most stable polymorph in this dataset in meV per atom: 245
SG: No. 6
DFT formation energy in eV per atom: 0.408

Cell lengths 3.1607, 4.6863, 5.3278 Å; angles 90.00, 106.67, 90.00 degrees
Last column: nearest neighbours and their distance in Å.
Element x y z (fractional)
1 Mo 0.0000 0.0000 0.0000  2 As 2.57
2 Mo 0.3830 0.5000 0.7960  2 As 2.54, 1 Pb 2.67
3 As 0.3083 0.0000 0.6032  4 Mo 2.54-2.57
4 Pb 0.6645 0.5000 0.3197  3 Mo 2.67-2.92

The following is a DFT calculation (PBE) of a relaxed structure of MoAs2Pb.

## Properties
N(E_F) in states/eV/f.u.: 2.18
SG: No. 160
DFT formation energy in eV per atom: 0.332

Cell lengths 3.1846, 3.1846, 28.4432 Å; angles 90.00, 90.00, 120.00 degrees
Last column: nearest neighbours and their distance in Å.
Element x y z (fractional)
1 Mo 0.0000 0.0000 0.0000  3 As 2.53
2 Mo 0.3333 0.6667 0.6667  3 As 2.53
3 Mo 0.6667 0.3333 0.3333  3 As 2.53
4 As 0.0000 0.0000 0.2720  3 Mo 2.53
5 As 0.0000 0.0000 0.5266  9 As 2.90-3.18
6 As 0.3333 0.6667 0.1932  9 As 2.90-3.18
7 As 0.3333 0.6667 0.9387  3 Mo 2.53
8 As 0.6667 0.3333 0.6053  3 Mo 2.53
9 As 0.6667 0.3333 0.8599  9 As 2.90-3.18
10 Pb 0.0000 0.0000 0.7530  3 Mo 3.07, 6 Pb 3.18
11 Pb 0.3333 0.6667 0.4196  3 Mo 3.07, 6 Pb 3.18
12 Pb 0.6667 0.3333 0.0863  3 Mo 3.07, 6 Pb 3.18

The following is a DFT calculation (PBE) of a relaxed structure of Mo2AsPb.

## Properties
N(E_F) in states/eV/f.u.: 3.13
Energy above the most stable polymorph in this dataset in meV per atom: 178
SG: No. 44
DFT formation energy in eV per atom: 0.341

Cell lengths 3.1191, 3.8328, 13.1150 Å; angles 90.00, 90.00, 90.00 degrees
Last column: nearest neighbours and their distance in Å.
Element x y z (fractional)
1 Mo 0.0000 0.0000 0.0000  4 As 2.57, 2 Mo 2.85
2 Mo 0.0000 0.5000 0.3183  2 As 2.54
3 Mo 0.5000 0.0000 0.8183  2 As 2.54
4 Mo 0.5000 0.5000 0.5000  4 As 2.57, 2 Mo 2.85
5 As 0.0000 0.0000 0.4449  6 Mo 2.54-2.57
6 As 0.5000 0.5000 0.9449  6 Mo 2.54-2.57
7 Pb 0.0000 0.5000 0.6910  6 Mo 2.95-2.98, 2 Pb 3.12
8 Pb 0.5000 0.0000 0.1910  6 Mo 2.95-2.98, 2 Pb 3.12

- Among the records above, which one has the lowest DFT formation energy?
  MoAs2Pb

- Which value of N(E_F) does entry 3 give?
  2.18 states/eV/f.u.

What did the third record say?
The following is a DFT calculation (PBE) of a relaxed structure of MoAs2Pb.

## Properties
N(E_F) in states/eV/f.u.: 2.18
SG: No. 160
DFT formation energy in eV per atom: 0.332

Cell lengths 3.1846, 3.1846, 28.4432 Å; angles 90.00, 90.00, 120.00 degrees
Last column: nearest neighbours and their distance in Å.
Element x y z (fractional)
1 Mo 0.0000 0.0000 0.0000  3 As 2.53
2 Mo 0.3333 0.6667 0.6667  3 As 2.53
3 Mo 0.6667 0.3333 0.3333  3 As 2.53
4 As 0.0000 0.0000 0.2720  3 Mo 2.53
5 As 0.0000 0.0000 0.5266  9 As 2.90-3.18
6 As 0.3333 0.6667 0.1932  9 As 2.90-3.18
7 As 0.3333 0.6667 0.9387  3 Mo 2.53
8 As 0.6667 0.3333 0.6053  3 Mo 2.53
9 As 0.6667 0.3333 0.8599  9 As 2.90-3.18
10 Pb 0.0000 0.0000 0.7530  3 Mo 3.07, 6 Pb 3.18
11 Pb 0.3333 0.6667 0.4196  3 Mo 3.07, 6 Pb 3.18
12 Pb 0.6667 0.3333 0.0863  3 Mo 3.07, 6 Pb 3.18